! KCrTc, optimized geometry, DFT GGA-PBE; values from VASP
&SYSTEM
  ibrav = 0, nat = 3, ntyp = 3
/
ATOMIC_SPECIES
Cr 52.00 Cr.upf
K 39.10 K.upf
Tc 98.00 Tc.upf
ATOMIC_POSITIONS crystal
Cr 0.046 0.046 0.000
K 0.332 0.332 0.000
Tc 0.622 0.622 0.000
CELL_PARAMETERS angstrom
7.106 -0.138 0.000
5.810 4.094 0.000
-6.458 -1.978 2.213
! - Energy relative to the lowest polymorph listed for this composition: 0 meV/atom
! - Space group: I4mm (107)
! - Calculated volume: 22.05 Å³ per atom
! - ΔE_f: 0.86 eV/atom

! Ac2Pr4Te3N2, optimized geometry, DFT GGA-PBE; values from VASP
&SYSTEM
  ibrav = 0, nat = 11, ntyp = 4
/
ATOMIC_SPECIES
Ac 227.00 Ac.upf
Pr 140.91 Pr.upf
Te 127.60 Te.upf
N 14.01 N.upf
ATOMIC_POSITIONS crystal
Ac 0.307 0.307 0.613
Ac 0.693 0.693 0.387
Pr 0.420 0.920 0.841
Pr 0.920 0.420 0.841
Pr 0.080 0.580 0.159
Pr 0.580 0.080 0.159
Te 0.000 0.000 0.000
Te 0.172 0.172 0.345
Te 0.828 0.828 0.655
N 0.395 0.395 0.790
N 0.605 0.605 0.210
CELL_PARAMETERS angstrom
-1.412 -2.992 3.537
1.474 -3.796 -2.622
12.325 4.271 5.216
! - Space group: I4/mmm (139)
! - Calculated volume: 29.05 Å³ per atom
! - Formation energy (no corrections): -1186 meV/atom

! Nd5HoSi4, optimized geometry, DFT GGA-PBE; values from VASP
&SYSTEM
  ibrav = 0, nat = 10, ntyp = 3
/
ATOMIC_SPECIES
Nd 144.24 Nd.upf
Ho 164.93 Ho.upf
Si 28.09 Si.upf
ATOMIC_POSITIONS crystal
Nd 0.834 0.676 0.668
Nd 0.836 0.171 0.672
Nd 0.164 0.829 0.328
Nd 0.500 0.500 0.000
Nd 0.166 0.324 0.332
Ho 0.500 0.000 0.000
Si 0.325 0.900 0.651
Si 0.992 0.746 0.984
Si 0.675 0.100 0.349
Si 0.008 0.254 0.016
CELL_PARAMETERS angstrom
5.052 0.000 0.000
0.000 6.454 -2.564
-2.526 -3.446 9.785
! - Space group: C2/m (12)
! - Calculated volume: 27.44 Å³ per atom
! - Formation energy (no corrections): -486 meV/atom